(1)
MnTl3Cu2Br9 after structural relaxation, computed with PBE-GGA.

Cell: 7.3489 7.3489 9.0028 Å, 90.00 90.00 120.00°
Closest atoms and distances in Å follow each position.
Fractional coordinates of all 15 atoms:
Mn1 0.0000 0.0000 0.0000  6 Br 2.57
Tl1 0.0000 0.0000 0.5000  12 Br 3.67-3.68
Tl2 0.3333 0.6667 0.1839  12 Br 3.55-3.80
Tl3 0.6667 0.3333 0.8161  12 Br 3.55-3.80
Cu1 0.3333 0.6667 0.6605  6 Br 2.57-2.66
Cu2 0.6667 0.3333 0.3395  6 Br 2.57-2.66
Br1 0.0000 0.5000 0.5000  2 Cu 2.57
Br2 0.1653 0.3305 0.8353  1 Mn 2.57, 1 Cu 2.66
Br3 0.1653 0.8347 0.8353  1 Mn 2.57, 1 Cu 2.66
Br4 0.3305 0.1653 0.1647  1 Mn 2.57, 1 Cu 2.66
Br5 0.5000 0.0000 0.5000  2 Cu 2.57
Br6 0.5000 0.5000 0.5000  2 Cu 2.57
Br7 0.6695 0.8347 0.8353  1 Mn 2.57, 1 Cu 2.66
Br8 0.8347 0.1653 0.1647  1 Mn 2.57, 1 Cu 2.66
Br9 0.8347 0.6695 0.1647  1 Mn 2.57, 1 Cu 2.66

Output
DFT total energy   -0.1184 Ha/atom
Space-group type   P-3m1 (164)

***

(2)
BaV3W after structural relaxation, computed with PBE-GGA.

Cell: 4.6854 4.6854 4.6854 Å, 90.00 90.00 90.00°
Closest atoms and distances in Å follow each position.
Fractional coordinates of all 5 atoms:
Ba1 0.0000 0.0000 0.0000  6 V 2.34
V1 0.0000 0.0000 0.5000  2 Ba 2.34
V2 0.0000 0.5000 0.0000  2 Ba 2.34
V3 0.5000 0.0000 0.0000  2 Ba 2.34
W1 0.5000 0.5000 0.5000  12 V 3.31

Output
Relative energy among the computed polymorphs   1.6943 eV/atom
Energy of formation from the pure elements   2841.9 meV/atom
DFT total energy   -0.2060 Ha/atom
Space-group type   Pm-3m (221)

***

(3)
Ho2PaF after structural relaxation, computed with PBE-GGA.

Cell: 10.3493 10.3493 10.3493 Å, 17.78 17.78 17.78°
Closest atoms and distances in Å follow each position.
Fractional coordinates of all 4 atoms:
Ho1 0.1051 0.1051 0.1051  3 F 2.64
Ho2 0.8949 0.8949 0.8949  3 F 2.64
Pa1 0.0000 0.0000 0.0000  6 Pa 3.20, 2 Ho 3.21
F1 0.5000 0.5000 0.5000  6 Ho 2.64

Output
DFT total energy   -0.2177 Ha/atom
Space-group type   R-3m (166)

***

(4)
ScTe3Pt after structural relaxation, computed with PBE-GGA.

Cell: 5.3970 5.3970 5.3970 Å, 90.00 90.00 90.00°
Closest atoms and distances in Å follow each position.
Fractional coordinates of all 5 atoms:
Sc1 0.0000 0.0000 0.0000  6 Te 2.70
Te1 0.0000 0.0000 0.5000  2 Sc 2.70
Te2 0.0000 0.5000 0.0000  2 Sc 2.70
Te3 0.5000 0.0000 0.0000  2 Sc 2.70
Pt1 0.5000 0.5000 0.5000  12 Te 3.82

Output
Relative energy among the computed polymorphs   0.4028 eV/atom
DFT total energy   -0.1441 Ha/atom
Space-group type   Pm-3m (221)

***

(5)
Li3PmHo2Se6 after structural relaxation, computed with PBE-GGA.

Cell: 7.0937 7.0937 6.9195 Å, 99.82 99.82 120.01°
Closest atoms and distances in Å follow each position.
Fractional coordinates of all 12 atoms:
Li1 0.0000 0.0000 0.0000  6 Se 2.81-2.88
Li2 0.3325 0.6675 0.0000  6 Se 2.81-2.88
Li3 0.6675 0.3325 0.0000  6 Se 2.81-2.88
Pm1 0.5000 0.5000 0.5000  6 Se 2.93
Ho1 0.1666 0.8334 0.5000  6 Se 2.86-2.87
Ho2 0.8334 0.1666 0.5000  6 Se 2.86-2.87
Se1 0.0747 0.4155 0.2463  3 Li 2.81-2.88, 2 Ho 2.86, 1 Pm 2.93
Se2 0.2441 0.2441 0.7551  3 Li 2.81-2.88, 2 Ho 2.87, 1 Pm 2.93
Se3 0.4155 0.0747 0.2463  3 Li 2.81-2.88, 2 Ho 2.86, 1 Pm 2.93
Se4 0.5845 0.9253 0.7537  3 Li 2.81-2.88, 2 Ho 2.86, 1 Pm 2.93
Se5 0.7559 0.7559 0.2449  3 Li 2.81-2.88, 2 Ho 2.87, 1 Pm 2.93
Se6 0.9253 0.5845 0.7537  3 Li 2.81-2.88, 2 Ho 2.86, 1 Pm 2.93

Output
DFT total energy   -0.1862 Ha/atom
Space-group type   C2/m (12)

***

(6)
NbCl after structural relaxation, computed with PBE-GGA.

Cell: 5.4937 6.7995 8.7192 Å, 90.00 90.00 90.00°
Closest atoms and distances in Å follow each position.
Fractional coordinates of all 16 atoms:
Nb1 0.0117 0.1706 0.2035  1 Nb 2.48, 4 Cl 2.53-2.62
Nb2 0.0514 0.3502 0.9573  1 Nb 2.48, 3 Cl 2.55-2.68
Nb3 0.4486 0.6498 0.4573  1 Nb 2.48, 3 Cl 2.55-2.68
Nb4 0.4883 0.8294 0.7035  1 Nb 2.48, 4 Cl 2.53-2.62
Nb5 0.5117 0.3294 0.7965  1 Nb 2.48, 4 Cl 2.53-2.62
Nb6 0.5514 0.1498 0.0427  1 Nb 2.48, 3 Cl 2.55-2.68
Nb7 0.9486 0.8502 0.5427  1 Nb 2.48, 3 Cl 2.55-2.68
Nb8 0.9883 0.6706 0.2965  1 Nb 2.48, 4 Cl 2.53-2.62
Cl1 0.1378 0.3716 0.4418  3 Nb 2.53-2.58
Cl2 0.1471 0.0878 0.7543  4 Nb 2.57-2.68
Cl3 0.3529 0.9122 0.2543  4 Nb 2.57-2.68
Cl4 0.3622 0.6284 0.9418  3 Nb 2.53-2.58
Cl5 0.6378 0.1284 0.5582  3 Nb 2.53-2.58
Cl6 0.6471 0.4122 0.2457  4 Nb 2.57-2.68
Cl7 0.8529 0.5878 0.7457  4 Nb 2.57-2.68
Cl8 0.8622 0.8716 0.0582  3 Nb 2.53-2.58

Output
DFT total energy   -0.2291 Ha/atom
Space-group type   P2_12_12_1 (19)